Computed, not measured: an optimized crystal structure of TaPRu at the PBE-GGA level of DFT.

Cell: 2.9272 2.9272 6.0677 Å, 90.00 90.00 120.00°
Positions (direct):
Ta: 0.0000 0.0000 0.0000
P: 0.6667 0.3333 0.3429
Ru: 0.3333 0.6667 0.6234

Computed properties:
V in Å³ per atom: 15.01
Space-group type: P3m1, No. 156
DFT formation energy in eV per atom: -0.144
DFT total energy in Ha/atom: -0.330


Computed, not measured: an optimized crystal structure of Ta2PRu at the PBE-GGA level of DFT.

Cell: 4.0601 4.0601 3.7698 Å, 90.00 90.00 90.00°
Positions (direct):
Ta: 0.0000 0.5000 0.0000
Ta: 0.5000 0.0000 0.0000
P: 0.0000 0.0000 0.5000
Ru: 0.5000 0.5000 0.5000

Computed properties:
V in Å³ per atom: 15.54
Space-group type: P4/mmm, No. 123
DFT formation energy in eV per atom: -0.163
DFT total energy in Ha/atom: -0.359


Computed, not measured: an optimized crystal structure of TaP2Ru at the PBE-GGA level of DFT.

Cell: 3.0457 3.0457 22.1381 Å, 90.00 90.00 120.00°
Positions (direct):
Ta: 0.0000 0.0000 0.0000
Ta: 0.3333 0.6667 0.6667
Ta: 0.6667 0.3333 0.3333
P: 0.0000 0.0000 0.4929
P: 0.0000 0.0000 0.7485
P: 0.3333 0.6667 0.1595
P: 0.3333 0.6667 0.4152
P: 0.6667 0.3333 0.0818
P: 0.6667 0.3333 0.8262
Ru: 0.0000 0.0000 0.2326
Ru: 0.3333 0.6667 0.8992
Ru: 0.6667 0.3333 0.5659

Computed properties:
V in Å³ per atom: 14.82
Space-group type: R3m, No. 160
DFT formation energy in eV per atom: -0.198
DFT total energy in Ha/atom: -0.301


Computed, not measured: an optimized crystal structure of Ta2PRu at the PBE-GGA level of DFT.

Cell: 3.3694 4.0484 4.5669 Å, 90.00 90.00 90.00°
Positions (direct):
Ta: 0.0000 0.0000 0.0000
Ta: 0.5000 0.0000 0.5000
P: 0.0000 0.5000 0.5000
Ru: 0.5000 0.5000 0.0000

Computed properties:
V in Å³ per atom: 15.57
Space-group type: Pmmm, No. 47
DFT formation energy in eV per atom: -0.249
DFT total energy in Ha/atom: -0.362


Computed, not measured: an optimized crystal structure of TaP2Ru at the PBE-GGA level of DFT.

Cell: 3.2342 3.3844 10.7979 Å, 90.00 90.00 90.00°
Positions (direct):
Ta: 0.0000 0.0000 0.0000
Ta: 0.5000 0.5000 0.5000
P: 0.0000 0.0000 0.4109
P: 0.0000 0.5000 0.6782
P: 0.5000 0.0000 0.1782
P: 0.5000 0.5000 0.9109
Ru: 0.0000 0.5000 0.2502
Ru: 0.5000 0.0000 0.7502

Computed properties:
V in Å³ per atom: 14.77
Space-group type: Imm2, No. 44
DFT formation energy in eV per atom: -0.597
DFT total energy in Ha/atom: -0.315


Computed, not measured: an optimized crystal structure of TaP2Ru2 at the PBE-GGA level of DFT.

Cell: 6.9810 6.9810 2.8382 Å, 90.00 90.00 90.00°
Positions (direct):
Ta: 0.0000 0.0000 0.0000
Ta: 0.5000 0.5000 0.0000
P: 0.1559 0.3441 0.0000
P: 0.3441 0.8441 0.0000
P: 0.6559 0.1559 0.0000
P: 0.8441 0.6559 0.0000
Ru: 0.1470 0.6470 0.5000
Ru: 0.3530 0.1470 0.5000
Ru: 0.6470 0.8530 0.5000
Ru: 0.8530 0.3530 0.5000

Computed properties:
V in Å³ per atom: 13.83
Space-group type: P4/mbm, No. 127
DFT formation energy in eV per atom: -0.329
DFT total energy in Ha/atom: -0.315


Computed, not measured: an optimized crystal structure of TaPRu at the PBE-GGA level of DFT.

Cell: 2.9068 2.9068 10.2104 Å, 90.00 90.00 90.00°
Positions (direct):
Ta: 0.0000 0.0000 0.0000
Ta: 0.5000 0.5000 0.5000
P: 0.0000 0.0000 0.6733
P: 0.5000 0.5000 0.1733
Ru: 0.0000 0.0000 0.2977
Ru: 0.5000 0.5000 0.7977

Computed properties:
V in Å³ per atom: 14.38
Space-group type: I4mm, No. 107
DFT formation energy in eV per atom: -0.452
DFT total energy in Ha/atom: -0.342


Computed, not measured: an optimized crystal structure of TaP2Ru at the PBE-GGA level of DFT.

Cell: 6.0550 6.0550 6.0550 Å, 90.00 90.00 90.00°
Positions (direct):
Ta: 0.0000 0.0000 0.0000
Ta: 0.0000 0.5000 0.5000
Ta: 0.5000 0.0000 0.5000
Ta: 0.5000 0.5000 0.0000
P: 0.2500 0.2500 0.2500
P: 0.2500 0.2500 0.7500
P: 0.2500 0.7500 0.2500
P: 0.2500 0.7500 0.7500
P: 0.7500 0.2500 0.2500
P: 0.7500 0.2500 0.7500
P: 0.7500 0.7500 0.2500
P: 0.7500 0.7500 0.7500
Ru: 0.0000 0.0000 0.5000
Ru: 0.0000 0.5000 0.0000
Ru: 0.5000 0.0000 0.0000
Ru: 0.5000 0.5000 0.5000

Computed properties:
V in Å³ per atom: 13.87
Space-group type: Fm-3m, No. 225
DFT formation energy in eV per atom: -0.339
DFT total energy in Ha/atom: -0.306